Entry 1:
Entry from the Alexandria database: a relaxed Sr2Mg2Ag15 crystal (PBE).

Uncorrected energy ... -156.1 eV/cell
Crystal system ... trigonal
Calculated volume ... 20.9 A^3/atom
ΔE_f ... -0.14 eV per atom

abc: 9.7476 9.7476 14.4889
angles: 90.00 90.00 120.00
Space group R-3m (No. 166, hexagonal axes)
Unique sites:
Sr: 0.0000 0.0000 0.1515 [6 per cell]
Mg: 0.0000 0.0000 0.3978 [6 per cell]
Ag: 0.0000 0.2973 0.5000 [18 per cell]
Ag: 0.0000 0.5000 0.0000 [9 per cell]
Ag: 0.0008 0.5004 0.3470 [18 per cell]

Entry 2:
Entry from the Alexandria database: a relaxed Sr3Mg3Ag8 crystal (PBE).

Uncorrected energy ... -72.0 eV/cell
Crystal system ... orthorhombic
Calculated volume ... 24.2 A^3/atom
ΔE_f ... -0.24 eV per atom

abc: 4.819 9.926 14.170
angles: 90.00 90.00 90.00
Space group Immm (No. 71)
Unique sites:
Sr: 0.000 0.000 0.000 [2 per cell]
Sr: 0.000 0.000 0.293 [4 per cell]
Mg: 0.000 0.210 0.500 [4 per cell]
Mg: 0.000 0.500 0.000 [2 per cell]
Ag: 0.000 0.286 0.127 [8 per cell]
Ag: 0.000 0.356 0.331 [8 per cell]

Entry 3:
Entry from the Alexandria database: a relaxed SrMg12Ag6 crystal (PBE).

Uncorrected energy ... -120.6 eV/cell
Crystal system ... trigonal
Calculated volume ... 23.0 A^3/atom
ΔE_f ... -0.12 eV per atom

abc: 12.5808 12.5808 9.5806
angles: 90.00 90.00 120.00
Space group R-3m (No. 166, hexagonal axes)
Unique sites:
Sr: 0.0000 0.0000 0.0000 [3 per cell]
Mg: 0.0000 0.3807 0.5000 [18 per cell]
Mg: 0.0870 0.1740 0.3354 [18 per cell]
Ag: 0.0396 0.5198 0.2584 [18 per cell]

Entry 4:
Entry from the Alexandria database: a relaxed SrMg3Ag crystal (PBE).

Uncorrected energy ... -9.5 eV/cell
Crystal system ... cubic
Calculated volume ... 28.9 A^3/atom
ΔE_f ... -0.04 eV per atom

abc: 5.248 5.248 5.248
angles: 90.00 90.00 90.00
Space group Pm-3m (No. 221)
Unique sites:
Sr: 0.000 0.000 0.000 [1 per cell]
Mg: 0.000 0.500 0.500 [3 per cell]
Ag: 0.500 0.500 0.500 [1 per cell]

Entry 5:
Entry from the Alexandria database: a relaxed SrMg10Ag3 crystal (PBE).

Uncorrected energy ... -214.0 eV/cell
Crystal system ... cubic
Calculated volume ... 25.1 A^3/atom
ΔE_f ... -0.04 eV per atom

abc: 14.111 14.111 14.111
angles: 90.00 90.00 90.00
Space group Fm-3m (No. 225)
Unique sites:
Sr: 0.250 0.250 0.250 [8 per cell]
Mg: 0.000 0.171 0.171 [48 per cell]
Mg: 0.111 0.111 0.389 [32 per cell]
Ag: 0.000 0.000 0.267 [24 per cell]

Entry 6:
Entry from the Alexandria database: a relaxed SrMg3Ag crystal (PBE).

Uncorrected energy ... -19.5 eV/cell
Crystal system ... hexagonal
Calculated volume ... 27.0 A^3/atom
ΔE_f ... -0.08 eV per atom

abc: 7.2287 7.2287 5.9747
angles: 90.00 90.00 120.00
Space group P6_3/mmc (No. 194)
Unique sites:
Sr: 0.3333 0.6667 0.2500 [2 per cell]
Mg: 0.1865 0.3730 0.7500 [6 per cell]
Ag: 0.0000 0.0000 0.0000 [2 per cell]

Entry 7:
Entry from the Alexandria database: a relaxed Sr4MgAg crystal (PBE).

Uncorrected energy ... -33.3 eV/cell
Crystal system ... cubic
Calculated volume ... 46.3 A^3/atom
ΔE_f ... 0.48 eV per atom

abc: 10.359 10.359 10.359
angles: 90.00 90.00 90.00
Space group F-43m (No. 216)
Unique sites:
Sr: 0.125 0.125 0.125 [16 per cell]
Mg: 0.000 0.000 0.500 [4 per cell]
Ag: 0.250 0.250 0.750 [4 per cell]

Entry 8:
Entry from the Alexandria database: a relaxed SrMgAg crystal (PBE).

Uncorrected energy ... -6.7 eV/cell
Crystal system ... trigonal
Calculated volume ... 29.9 A^3/atom
ΔE_f ... -0.19 eV per atom

abc: 4.8884 4.8884 4.3356
angles: 90.00 90.00 120.00
Space group P3m1 (No. 156)
Unique sites:
Sr: 0.0000 0.0000 0.0000 [1 per cell]
Mg: 0.3333 0.6667 0.4993 [1 per cell]
Ag: 0.6667 0.3333 0.5014 [1 per cell]

> Which value of uncorrected energy does entry 7 give?

-33.3 eV/cell

> What is the uncorrected energy in the fourth record?

-9.5 eV/cell